Below is an optimized crystal structure of NaLi6Mg2, with properties calculated at the GGA-PBE level.

Summary:
Its space group is I4/mmm, No. 139. As for the energy relative to the lowest polymorph listed for this composition: 148 meV per atom.

a = 3.8486 Å, b = 3.8486 Å, c = 15.4524 Å
α = 97.15°, β = 97.15°, γ = 90.00°
Fractional coordinates of all 9 atoms:
Na 0.0000 0.0000 0.0000
Li 0.9065 0.4065 0.8129
Li 0.4065 0.9065 0.8129
Li 0.0935 0.5935 0.1871
Li 0.7500 0.2500 0.5000
Li 0.2500 0.7500 0.5000
Li 0.5935 0.0935 0.1871
Mg 0.3287 0.3287 0.6574
Mg 0.6713 0.6713 0.3426